An optimized crystal structure of Nd2PuGe. Source: Alexandria via LeMat-Bulk, functional PBE-GGA.

Unit cell a=3.6270 b=3.6270 c=11.1897 alpha=80.67 beta=80.67 gamma=60.00
With the nearest neighbours (Å) after each atom.
Fractional positions:
Ge: 0.5000 0.5000 0.5000  6 Nd 2.99
Nd: 0.1019 0.1019 0.6944  3 Ge 2.99
Nd: 0.8981 0.8981 0.3056  3 Ge 2.99
Pu: 0.0000 0.0000 0.0000  2 Nd 3.36, 6 Pu 3.63

Calculated values
calculated volume = 125 Å³ per cell
size of the total moment = 6.40 μB per formula unit
energy relative to the lowest polymorph listed for this composition = 342 meV per atom
energy of formation = 0.09 eV per atom
VASP energy = -7.03 eV per atom